A relaxed NdErCu10 crystal, computed with PBE.

a b c (Å): 4.109 5.077 8.733
angles (deg): 90.00 90.00 90.00
Element x y z (fractional)
Nd  0.000  0.000  0.000
Er  0.000  0.500  0.500
Cu  0.000  0.000  0.339
Cu  0.000  0.000  0.661
Cu  0.000  0.500  0.172
Cu  0.000  0.500  0.828
Cu  0.500  0.000  0.500
Cu  0.500  0.253  0.255
Cu  0.500  0.253  0.745
Cu  0.500  0.500  0.000
Cu  0.500  0.747  0.255
Cu  0.500  0.747  0.745

Values from the calculation:
**Space group**: No. 47



A relaxed NdEr2Cu crystal, computed with PBE.

a b c (Å): 10.056 10.056 10.056
angles (deg): 20.76 20.76 20.76
Element x y z (fractional)
Nd  0.000  0.000  0.000
Er  0.232  0.232  0.232
Er  0.768  0.768  0.768
Cu  0.500  0.500  0.500

Values from the calculation:
**Space group**: No. 166
**Polymorph energy (0 for the lowest one)**: 0.133 eV per atom



A relaxed Nd4ErCu5 crystal, computed with PBE.

a b c (Å): 3.541 3.541 17.992
angles (deg): 90.00 90.00 90.00
Element x y z (fractional)
Nd  0.000  0.000  0.101
Nd  0.000  0.000  0.305
Nd  0.000  0.000  0.695
Nd  0.000  0.000  0.899
Er  0.000  0.000  0.500
Cu  0.500  0.500  0.000
Cu  0.500  0.500  0.203
Cu  0.500  0.500  0.411
Cu  0.500  0.500  0.589
Cu  0.500  0.500  0.797

Values from the calculation:
**Space group**: No. 123



A relaxed NdEr2Cu2 crystal, computed with PBE.

a b c (Å): 5.703 3.735 11.486
angles (deg): 90.00 91.60 90.00
Element x y z (fractional)
Nd  0.235  0.250  0.278
Nd  0.765  0.750  0.722
Er  0.249  0.750  0.545
Er  0.258  0.250  0.822
Er  0.742  0.750  0.178
Er  0.751  0.250  0.455
Cu  0.142  0.750  0.023
Cu  0.432  0.250  0.058
Cu  0.568  0.750  0.942
Cu  0.858  0.250  0.977

Values from the calculation:
**Space group**: No. 11



A relaxed NdErCu2 crystal, computed with PBE.

a b c (Å): 4.977 4.977 4.977
angles (deg): 60.00 60.00 60.00
Element x y z (fractional)
Nd  0.000  0.000  0.000
Er  0.500  0.500  0.500
Cu  0.250  0.250  0.250
Cu  0.750  0.750  0.750

Values from the calculation:
**Space group**: No. 225
**Polymorph energy (0 for the lowest one)**: 0.021 eV per atom



A relaxed NdEr4Cu crystal, computed with PBE.

a b c (Å): 3.283 3.283 17.269
angles (deg): 90.00 90.00 90.00
Element x y z (fractional)
Nd  0.000  0.000  0.000
Er  0.000  0.000  0.197
Er  0.000  0.000  0.803
Er  0.500  0.500  0.342
Er  0.500  0.500  0.658
Cu  0.500  0.500  0.500

Values from the calculation:
**Space group**: No. 123



A relaxed NdEr2Cu crystal, computed with PBE.

a b c (Å): 4.924 7.473 6.364
angles (deg): 90.00 112.66 90.00
Element x y z (fractional)
Nd  0.048  0.250  0.095
Nd  0.952  0.750  0.905
Er  0.350  0.031  0.700
Er  0.350  0.469  0.700
Er  0.650  0.531  0.300
Er  0.650  0.969  0.300
Cu  0.201  0.750  0.403
Cu  0.799  0.250  0.597

Values from the calculation:
**Space group**: No. 11
**Polymorph energy (0 for the lowest one)**: 0.041 eV per atom



A relaxed NdEr2Cu crystal, computed with PBE.

a b c (Å): 9.895 9.895 9.895
angles (deg): 21.38 21.38 21.38
Element x y z (fractional)
Nd  0.000  0.000  0.000
Er  0.563  0.563  0.563
Er  0.767  0.767  0.767
Cu  0.165  0.165  0.165

Values from the calculation:
**Space group**: No. 160
**Polymorph energy (0 for the lowest one)**: 0.131 eV per atom



| no. | calculated total energy (hartree per atom) | E_form (eV per atom) |
| --- | --- | --- |
| 1 | -0.161 | -0.179 |
| 2 | -0.165 | 0.021 |
| 3 | -0.168 | -0.167 |
| 4 | -0.164 | -0.032 |
| 5 | -0.168 | -0.193 |
| 6 | -0.147 | 0.529 |
| 7 | -0.168 | -0.071 |
| 8 | -0.165 | 0.019 |